## SmTmHg2 (PBE)

Data for an optimized crystal structure of SmTmHg2.

a = 7.477 Å, b = 7.477 Å, c = 7.477 Å
α = 90.00°, β = 90.00°, γ = 90.00°
Space group Fm-3m (No. 225)
One atom of each set of equivalent atoms:
1 Sm 0.000 0.000 0.000 (multiplicity 4)
2 Tm 0.000 0.000 0.500 (multiplicity 4)
3 Hg 0.250 0.250 0.250 (multiplicity 8)

Crystal system ... cubic
Offset from the most stable computed form ... 12 meV per atom
Formation enthalpy at 0 K ... -0.4661 eV per atom
Total DFT energy (no corrections) ... -0.10711 hartree per atom

***

## SmTmHg3 (PBE)

Data for an optimized crystal structure of SmTmHg3.

a = 3.584 Å, b = 28.976 Å, c = 4.915 Å
α = 90.00°, β = 90.00°, γ = 90.00°
Space group Cmcm (No. 63)
One atom of each set of equivalent atoms:
1 Sm 0.000 0.077 0.250 (multiplicity 4)
2 Tm 0.000 0.211 0.750 (multiplicity 4)
3 Hg 0.000 0.317 0.750 (multiplicity 4)
4 Hg 0.000 0.376 0.250 (multiplicity 4)
5 Hg 0.000 0.476 0.250 (multiplicity 4)

Crystal system ... orthorhombic
Offset from the most stable computed form ... 0 meV per atom
Formation enthalpy at 0 K ... -0.4110 eV per atom
Total DFT energy (no corrections) ... -0.08931 hartree per atom

***

## SmTmHg (PBE)

Data for an optimized crystal structure of SmTmHg.

a = 7.526 Å, b = 4.920 Å, c = 13.966 Å
α = 90.00°, β = 90.26°, γ = 90.00°
Space group P2_1/m (No. 11)
One atom of each set of equivalent atoms:
1 Sm 0.009 0.250 0.210 (multiplicity 2)
2 Sm 0.367 0.750 0.582 (multiplicity 2)
3 Sm 0.474 0.750 0.872 (multiplicity 2)
4 Tm 0.026 0.250 0.585 (multiplicity 2)
5 Tm 0.156 0.250 0.958 (multiplicity 2)
6 Tm 0.347 0.750 0.283 (multiplicity 2)
7 Hg 0.231 0.250 0.405 (multiplicity 2)
8 Hg 0.249 0.750 0.073 (multiplicity 2)
9 Hg 0.269 0.250 0.750 (multiplicity 2)

Crystal system ... monoclinic
Offset from the most stable computed form ... 0 meV per atom
Formation enthalpy at 0 K ... -0.3211 eV per atom
Total DFT energy (no corrections) ... -0.12808 hartree per atom

***

## SmTmHg3 (PBE)

Data for an optimized crystal structure of SmTmHg3.

a = 7.0104 Å, b = 7.0104 Å, c = 6.6968 Å
α = 90.00°, β = 90.00°, γ = 120.00°
Space group P6_3/mmc (No. 194)
One atom of each set of equivalent atoms:
1 Sm 0.3333 0.6667 0.2500 (multiplicity 2)
2 Tm 0.0000 0.0000 0.0000 (multiplicity 2)
3 Hg 0.1975 0.3950 0.7500 (multiplicity 6)

Crystal system ... hexagonal
Offset from the most stable computed form ... 185 meV per atom
Formation enthalpy at 0 K ... -0.2258 eV per atom
Total DFT energy (no corrections) ... -0.08250 hartree per atom

***

## Sm5Tm4Hg4 (PBE)

Data for an optimized crystal structure of Sm5Tm4Hg4.

a = 12.118 Å, b = 12.118 Å, c = 5.122 Å
α = 90.00°, β = 90.00°, γ = 90.00°
Space group I4/m (No. 87)
One atom of each set of equivalent atoms:
1 Sm 0.000 0.000 0.000 (multiplicity 2)
2 Sm 0.119 0.814 0.500 (multiplicity 8)
3 Tm 0.098 0.602 0.000 (multiplicity 8)
4 Hg 0.092 0.243 0.000 (multiplicity 8)

Crystal system ... tetragonal
Formation enthalpy at 0 K ... -0.3185 eV per atom
Total DFT energy (no corrections) ... -0.13238 hartree per atom

***

## Sm3Tm3Hg2 (PBE)

Data for an optimized crystal structure of Sm3Tm3Hg2.

a = 5.143 Å, b = 11.675 Å, c = 15.901 Å
α = 90.00°, β = 90.00°, γ = 90.00°
Space group Cmcm (No. 63)
One atom of each set of equivalent atoms:
1 Sm 0.000 0.041 0.107 (multiplicity 8)
2 Sm 0.000 0.284 0.250 (multiplicity 4)
3 Tm 0.000 0.358 0.035 (multiplicity 8)
4 Tm 0.000 0.428 0.750 (multiplicity 4)
5 Hg 0.000 0.233 0.625 (multiplicity 8)

Crystal system ... orthorhombic
Formation enthalpy at 0 K ... -0.1798 eV per atom
Total DFT energy (no corrections) ... -0.13604 hartree per atom

***

For the records above, the corresponding total magnetization values read 1.56 0.48 0.00 0.00 0.00 0.00 μB per cell.
For the records above, the corresponding D(E_F) values read 1.091 1.024 0.655 1.297 0.778 1.048 states/eV/atom.